Record 1
Material: BaTbRe2O8
Method: DFT, PBE
State: optimized geometry

```
data_BaTbRe2O8
_symmetry_space_group_name_H-M 'P -3 m 1'
_symmetry_Int_Tables_number 164
_symmetry_space_group_name_Hall '-P 3 2"'
_cell_length_a 5.9718
_cell_length_b 5.9718
_cell_length_c 7.5980
_cell_angle_alpha 90.00
_cell_angle_beta 90.00
_cell_angle_gamma 120.00
loop_
_atom_site_label
_atom_site_fract_x
_atom_site_fract_y
_atom_site_fract_z
Ba1 0.0000 0.0000 0.0000
Tb1 0.0000 0.0000 0.5000
Re1 0.3333 0.6667 0.7731
O1 0.1646 0.3293 0.6969
O2 0.3333 0.6667 0.0097
```

Computed properties:
- E (eV per atom) = -8.0141
- M_tot (Bohr magnetons per cell) = 3.01
- formation energy without anion corrections (eV per atom) = -2.088


Record 2
Material: ZnHgBr2
Method: DFT, PBE
State: optimized geometry

```
data_ZnHgBr2
_symmetry_space_group_name_H-M 'C 1 2/m 1'
_symmetry_Int_Tables_number 12
_symmetry_space_group_name_Hall '-C 2y'
_cell_length_a 8.208
_cell_length_b 8.101
_cell_length_c 4.365
_cell_angle_alpha 90.00
_cell_angle_beta 118.10
_cell_angle_gamma 90.00
loop_
_atom_site_label
_atom_site_fract_x
_atom_site_fract_y
_atom_site_fract_z
Zn1 0.000 0.000 0.000
Hg1 0.000 0.500 0.000
Br1 0.250 0.250 0.000
```

Computed properties:
- E (eV per atom) = -1.3414
- M_tot (Bohr magnetons per cell) = 0.00
- formation energy without anion corrections (eV per atom) = -0.111


Record 3
Material: RbAg2Sn
Method: DFT, PBE
State: optimized geometry

```
data_RbAg2Sn
_symmetry_space_group_name_H-M 'P m m n'
_symmetry_Int_Tables_number 59
_cell_length_a 4.934
_cell_length_b 7.611
_cell_length_c 6.882
_cell_angle_alpha 90.00
_cell_angle_beta 90.00
_cell_angle_gamma 90.00
loop_
_symmetry_equiv_pos_as_xyz
'x,y,z'
'-x,-y,-z'
'-x+1/2,-y+1/2,z'
'x+1/2,y+1/2,-z'
'x+1/2,-y,-z'
'-x+1/2,y,z'
'-x,y+1/2,-z'
'x,-y+1/2,z'
loop_
_atom_site_label
_atom_site_fract_x
_atom_site_fract_y
_atom_site_fract_z
Rb1 0.250 0.250 0.104
Ag1 0.250 0.062 0.577
Sn1 0.250 0.750 0.353
```

Computed properties:
- E (eV per atom) = -2.7703
- ΔE_f (meV per atom) = -102
- M_tot (Bohr magnetons per cell) = 0.00


Record 4
Material: SmHoSb
Method: DFT, PBE
State: optimized geometry

```
data_SmHoSb
_symmetry_space_group_name_H-M 'I 4 m m'
_symmetry_Int_Tables_number 107
_symmetry_space_group_name_Hall 'I 4 -2'
_cell_length_a 4.022
_cell_length_b 4.022
_cell_length_c 10.525
_cell_angle_alpha 90.00
_cell_angle_beta 90.00
_cell_angle_gamma 90.00
loop_
_atom_site_label
_atom_site_fract_x
_atom_site_fract_y
_atom_site_fract_z
Sm1 0.000 0.000 0.000
Ho1 0.000 0.000 0.692
Sb1 0.000 0.000 0.338
```

Computed properties:
- E (eV per atom) = -5.1078
- M_tot (Bohr magnetons per cell) = 1.56
- formation energy without anion corrections (eV per atom) = -0.635


Record 5
Material: Tm3Ga8Cu3
Method: DFT, PBE
State: optimized geometry

```
data_Tm3Ga8Cu3
_symmetry_space_group_name_H-M 'I m m m'
_symmetry_Int_Tables_number 71
_symmetry_space_group_name_Hall '-I 2 2'
_cell_length_a 4.235
_cell_length_b 9.338
_cell_length_c 12.314
_cell_angle_alpha 90.00
_cell_angle_beta 90.00
_cell_angle_gamma 90.00
loop_
_atom_site_label
_atom_site_fract_x
_atom_site_fract_y
_atom_site_fract_z
Tm1 0.000 0.000 0.000
Tm2 0.000 0.000 0.301
Ga1 0.000 0.290 0.132
Ga2 0.000 0.364 0.347
Cu1 0.000 0.181 0.500
Cu2 0.000 0.500 0.000
```

Computed properties:
- E (eV per atom) = -4.0220
- ΔE_f (meV per atom) = -456
- M_tot (Bohr magnetons per cell) = 0.00


Record 6
Material: IrOs2Pt
Method: DFT, PBE
State: optimized geometry

```
data_IrOs2Pt
_symmetry_space_group_name_H-M 'I -4 2 d'
_symmetry_Int_Tables_number 122
_symmetry_space_group_name_Hall 'I -4 2bw'
_cell_length_a 5.613
_cell_length_b 5.613
_cell_length_c 11.052
_cell_angle_alpha 90.00
_cell_angle_beta 90.00
_cell_angle_gamma 90.00
loop_
_atom_site_label
_atom_site_fract_x
_atom_site_fract_y
_atom_site_fract_z
Ir1 0.000 0.000 0.000
Os1 0.242 0.250 0.125
Pt1 0.000 0.000 0.500
```

Computed properties:
- E (eV per atom) = -8.1683
- ΔE_f (meV per atom) = 1172
- M_tot (Bohr magnetons per cell) = 0.00


Record 7
Material: Li3YHo2S6
Method: DFT, PBE
State: optimized geometry

```
data_Li3YHo2S6
_symmetry_space_group_name_H-M 'C 1 2/m 1'
_symmetry_Int_Tables_number 12
_symmetry_space_group_name_Hall '-C 2y'
_cell_length_a 6.759
_cell_length_b 11.707
_cell_length_c 6.570
_cell_angle_alpha 90.00
_cell_angle_beta 110.05
_cell_angle_gamma 90.00
loop_
_atom_site_label
_atom_site_fract_x
_atom_site_fract_y
_atom_site_fract_z
Li1 0.000 0.000 0.000
Li2 0.000 0.333 0.000
Y1 0.000 0.500 0.500
Ho1 0.000 0.167 0.500
S1 0.249 0.000 0.750
S2 0.249 0.167 0.250
```

Computed properties:
- E (eV per atom) = -5.6977
- M_tot (Bohr magnetons per cell) = 0.00
- formation energy without anion corrections (eV per atom) = -1.854


Record 8
Material: BaTl2Re
Method: DFT, PBE
State: optimized geometry

```
data_BaTl2Re
_symmetry_space_group_name_H-M 'P m m m'
_symmetry_Int_Tables_number 47
_symmetry_space_group_name_Hall '-P 2 2'
_cell_length_a 3.598
_cell_length_b 3.615
_cell_length_c 8.011
_cell_angle_alpha 90.00
_cell_angle_beta 90.00
_cell_angle_gamma 90.00
loop_
_atom_site_label
_atom_site_fract_x
_atom_site_fract_y
_atom_site_fract_z
Ba1 0.000 0.000 0.000
Tl1 0.500 0.500 0.309
Re1 0.000 0.000 0.500
```

Computed properties:
- E (eV per atom) = -4.1478
- ΔE_f (meV per atom) = 628
- M_tot (Bohr magnetons per cell) = 0.81


Record 9
Material: Tl2CdHg2
Method: DFT, PBE
State: optimized geometry

```
data_Tl2CdHg2
_symmetry_space_group_name_H-M 'I b a m'
_symmetry_Int_Tables_number 72
_symmetry_space_group_name_Hall '-I 2 2c'
_cell_length_a 7.204
_cell_length_b 13.216
_cell_length_c 6.463
_cell_angle_alpha 90.00
_cell_angle_beta 90.00
_cell_angle_gamma 90.00
loop_
_atom_site_label
_atom_site_fract_x
_atom_site_fract_y
_atom_site_fract_z
Tl1 0.192 0.141 0.000
Cd1 0.000 0.500 0.250
Hg1 0.237 0.129 0.500
```

Computed properties:
- E (eV per atom) = -1.2032
- ΔE_f (meV per atom) = 47
- M_tot (Bohr magnetons per cell) = 0.00


Record 10
Material: NaHfTa2
Method: DFT, PBE
State: optimized geometry

```
data_NaHfTa2
_symmetry_space_group_name_H-M 'F m -3 m'
_symmetry_Int_Tables_number 225
_symmetry_space_group_name_Hall '-F 4 2 3'
_cell_length_a 6.814
_cell_length_b 6.814
_cell_length_c 6.814
_cell_angle_alpha 90.00
_cell_angle_beta 90.00
_cell_angle_gamma 90.00
loop_
_atom_site_label
_atom_site_fract_x
_atom_site_fract_y
_atom_site_fract_z
Na1 0.000 0.000 0.000
Hf1 0.000 0.000 0.500
Ta1 0.250 0.250 0.250
```

Computed properties:
- E (eV per atom) = -7.8094
- ΔE_f (meV per atom) = 935
- M_tot (Bohr magnetons per cell) = 0.00


Record 11
Material: TlSnBi2Au4
Method: DFT, PBE
State: optimized geometry

```
data_TlSnBi2Au4
_symmetry_space_group_name_H-M 'F m m 2'
_symmetry_Int_Tables_number 42
_symmetry_space_group_name_Hall 'F 2 -2'
_cell_length_a 8.974
_cell_length_b 11.739
_cell_length_c 7.783
_cell_angle_alpha 90.00
_cell_angle_beta 90.00
_cell_angle_gamma 90.00
loop_
_atom_site_label
_atom_site_fract_x
_atom_site_fract_y
_atom_site_fract_z
Tl1 0.000 0.000 0.000
Sn1 0.000 0.000 0.500
Bi1 0.250 0.250 0.248
Au1 0.000 0.243 0.498
Au2 0.250 0.000 0.250
```

Computed properties:
- E (eV per atom) = -3.4510
- ΔE_f (meV per atom) = -46
- M_tot (Bohr magnetons per cell) = 0.00


Record 12
Material: Nd2SbPd6
Method: DFT, PBE
State: optimized geometry

```
data_Nd2SbPd6
_symmetry_space_group_name_H-M 'P -3 m 1'
_symmetry_Int_Tables_number 164
_symmetry_space_group_name_Hall '-P 3 2"'
_cell_length_a 5.8609
_cell_length_b 5.8609
_cell_length_c 6.0254
_cell_angle_alpha 90.00
_cell_angle_beta 90.00
_cell_angle_gamma 120.00
loop_
_atom_site_label
_atom_site_fract_x
_atom_site_fract_y
_atom_site_fract_z
Nd1 0.3333 0.6667 0.3216
Sb1 0.0000 0.0000 0.5000
Pd1 0.1766 0.3533 0.8207
```

Computed properties:
- E (eV per atom) = -5.7170
- M_tot (Bohr magnetons per cell) = 0.00
- formation energy without anion corrections (eV per atom) = -0.738


Record 13
Material: NdHo4Zn4
Method: DFT, PBE
State: optimized geometry

```
data_NdHo4Zn4
_symmetry_space_group_name_H-M 'I 4/m'
_symmetry_Int_Tables_number 87
_symmetry_space_group_name_Hall '-I 4'
_cell_length_a 9.474
_cell_length_b 9.474
_cell_length_c 5.099
_cell_angle_alpha 90.00
_cell_angle_beta 90.00
_cell_angle_gamma 90.00
loop_
_atom_site_label
_atom_site_fract_x
_atom_site_fract_y
_atom_site_fract_z
Nd1 0.000 0.000 0.000
Ho1 0.107 0.350 0.000
Zn1 0.080 0.184 0.500
```

Computed properties:
- E (eV per atom) = -3.2684
- ΔE_f (meV per atom) = -138
- M_tot (Bohr magnetons per cell) = 0.00


Record 14
Material: Th2AlZn
Method: DFT, PBE
State: optimized geometry

```
data_Th2AlZn
_symmetry_space_group_name_H-M 'R -3 m'
_symmetry_Int_Tables_number 166
_symmetry_space_group_name_Hall '-R 3 2"'
_cell_length_a 3.3265
_cell_length_b 3.3265
_cell_length_c 34.5146
_cell_angle_alpha 90.00
_cell_angle_beta 90.00
_cell_angle_gamma 120.00
loop_
_atom_site_label
_atom_site_fract_x
_atom_site_fract_y
_atom_site_fract_z
Th1 0.0000 0.0000 0.0914
Al1 0.0000 0.0000 0.5000
Zn1 0.0000 0.0000 0.0000
```

Computed properties:
- E (eV per atom) = -4.6992
- ΔE_f (meV per atom) = 265
- M_tot (Bohr magnetons per cell) = 0.00


Record 15
Material: Co2HgOs
Method: DFT, PBE
State: optimized geometry

```
data_Co2HgOs
_symmetry_space_group_name_H-M 'P 4/m m m'
_symmetry_Int_Tables_number 123
_symmetry_space_group_name_Hall '-P 4 2'
_cell_length_a 2.733
_cell_length_b 2.733
_cell_length_c 7.470
_cell_angle_alpha 90.00
_cell_angle_beta 90.00
_cell_angle_gamma 90.00
loop_
_atom_site_label
_atom_site_fract_x
_atom_site_fract_y
_atom_site_fract_z
Co1 0.000 0.000 0.220
Hg1 0.500 0.500 0.500
Os1 0.500 0.500 0.000
```

Computed properties:
- E (eV per atom) = -6.1098
- ΔE_f (meV per atom) = 326
- M_tot (Bohr magnetons per cell) = 0.00


Record 16
Material: CrSbMo
Method: DFT, PBE
State: optimized geometry

```
data_CrSbMo
_symmetry_space_group_name_H-M 'C 1 2/m 1'
_symmetry_Int_Tables_number 12
_symmetry_space_group_name_Hall '-C 2y'
_cell_length_a 6.586
_cell_length_b 3.989
_cell_length_c 9.061
_cell_angle_alpha 90.00
_cell_angle_beta 91.01
_cell_angle_gamma 90.00
loop_
_atom_site_label
_atom_site_fract_x
_atom_site_fract_y
_atom_site_fract_z
Cr1 0.167 0.000 0.045
Sb1 0.167 0.000 0.351
Mo1 0.008 0.500 0.160
```

Computed properties:
- E (eV per atom) = -7.8492
- M_tot (Bohr magnetons per cell) = 0.00
- formation energy without anion corrections (eV per atom) = 0.343


Record 17
Material: Np4U3Se8
Method: DFT, PBE
State: optimized geometry

```
data_Np4U3Se8
_symmetry_space_group_name_H-M 'C 1 2/m 1'
_symmetry_Int_Tables_number 12
_symmetry_space_group_name_Hall '-C 2y'
_cell_length_a 11.459
_cell_length_b 11.468
_cell_length_c 8.119
_cell_angle_alpha 90.00
_cell_angle_beta 134.77
_cell_angle_gamma 90.00
loop_
_atom_site_label
_atom_site_fract_x
_atom_site_fract_y
_atom_site_fract_z
Np1 0.000 0.000 0.000
Np2 0.000 0.500 0.500
Np3 0.250 0.250 0.000
U1 0.000 0.500 0.000
U2 0.250 0.250 0.500
Se1 0.000 0.244 0.500
Se2 0.000 0.250 0.000
Se3 0.243 0.000 0.985
Se4 0.244 0.000 0.502
```

Computed properties:
- E (eV per atom) = -8.6089
- M_tot (Bohr magnetons per cell) = 11.10
- formation energy without anion corrections (eV per atom) = -1.042


Record 18
Material: Ho2SnH
Method: DFT, PBE
State: optimized geometry

```
data_Ho2SnH
_symmetry_space_group_name_H-M 'P 4/n m m'
_symmetry_Int_Tables_number 129
_cell_length_a 4.489
_cell_length_b 4.489
_cell_length_c 8.435
_cell_angle_alpha 90.00
_cell_angle_beta 90.00
_cell_angle_gamma 90.00
loop_
_symmetry_equiv_pos_as_xyz
'x,y,z'
'-x,-y,-z'
'-y+1/2,x,z'
'y+1/2,-x,-z'
'-x+1/2,-y+1/2,z'
'x+1/2,y+1/2,-z'
'y,-x+1/2,z'
'-y,x+1/2,-z'
'x+1/2,-y,-z'
'-x+1/2,y,z'
'-y,-x,-z'
'y,x,z'
'-x,y+1/2,-z'
'x,-y+1/2,z'
'y+1/2,x+1/2,-z'
'-y+1/2,-x+1/2,z'
loop_
_atom_site_label
_atom_site_fract_x
_atom_site_fract_y
_atom_site_fract_z
Ho1 0.250 0.250 0.151
Ho2 0.250 0.750 0.500
Sn1 0.250 0.250 0.782
H1 0.250 0.250 0.420
```

Computed properties:
- E (eV per atom) = -4.7921
- M_tot (Bohr magnetons per cell) = 0.00


Record 19
Material: Ho2TmTh
Method: DFT, PBE
State: optimized geometry

```
data_Ho2TmTh
_symmetry_space_group_name_H-M 'P -1'
_symmetry_Int_Tables_number 2
_symmetry_space_group_name_Hall '-P 1'
_cell_length_a 3.531
_cell_length_b 6.716
_cell_length_c 10.984
_cell_angle_alpha 90.51
_cell_angle_beta 90.02
_cell_angle_gamma 105.15
loop_
_atom_site_label
_atom_site_fract_x
_atom_site_fract_y
_atom_site_fract_z
Ho1 0.020 0.039 0.243
Ho2 0.247 0.493 0.748
Tm1 0.369 0.738 0.015
Th1 0.371 0.744 0.483
```

Computed properties:
- E (eV per atom) = -5.2273
- ΔE_f (meV per atom) = 34
- M_tot (Bohr magnetons per cell) = 0.01